Model w:
# RhN

RhN after structural relaxation (PBE, Alexandria).

a = 7.621 Å, b = 3.181 Å, c = 4.266 Å
α = 90.00°, β = 90.00°, γ = 90.00°
Element x y z (fractional)
Rh1 0.195 0.500 0.682
Rh2 0.805 0.500 0.682
Rh3 0.305 0.000 0.182
Rh4 0.695 0.000 0.182
N1 0.585 0.500 0.965
N2 0.915 0.000 0.465
N3 0.085 0.000 0.465
N4 0.415 0.500 0.965

Results
- DOS(E_F): 0.17 states/eV/f.u.
- Magnetization: 0.00 μB per atom

=====

Model x:
# RhN

RhN after structural relaxation (PBE, Alexandria).

a = 3.005 Å, b = 3.005 Å, c = 17.227 Å
α = 90.00°, β = 90.00°, γ = 120.00°
Element x y z (fractional)
Rh1 0.667 0.333 0.068
Rh2 0.667 0.333 0.599
Rh3 0.000 0.000 0.735
Rh4 0.333 0.667 0.401
Rh5 0.333 0.667 0.932
Rh6 0.000 0.000 0.265
N1 0.333 0.667 0.127
N2 0.333 0.667 0.206
N3 0.667 0.333 0.873
N4 0.000 0.000 0.539
N5 0.000 0.000 0.461
N6 0.667 0.333 0.794

Results
- DOS(E_F): 0.40 states/eV/f.u.
- Magnetization: 0.00 μB per atom

=====

The relative energies come out as model w 13.3; model x 0.0, with values in kJ/mol of atoms.

=====

Model w:
# RhN

RhN after structural relaxation (PBE, Alexandria).

a = 12.075 Å, b = 2.867 Å, c = 2.814 Å
α = 90.00°, β = 90.00°, γ = 90.00°
Element x y z (fractional)
Rh1 0.167 0.500 0.000
Rh2 0.333 0.000 0.500
Rh3 0.667 0.000 0.500
Rh4 0.833 0.500 0.000
N1 0.050 0.500 0.500
N2 0.950 0.500 0.500
N3 0.450 0.000 0.000
N4 0.550 0.000 0.000

Results
- DOS(E_F): 1.49 states/eV/f.u.
- Magnetization: 0.00 μB per atom

=====

Model x:
# RhN

RhN after structural relaxation (PBE, Alexandria).

a = 6.315 Å, b = 6.315 Å, c = 6.315 Å
α = 90.00°, β = 90.00°, γ = 90.00°
Element x y z (fractional)
N1 0.327 0.673 0.327
N2 0.673 0.673 0.673
N3 0.173 0.827 0.827
N4 0.327 0.327 0.673
N5 0.827 0.827 0.173
N6 0.173 0.173 0.173
N7 0.673 0.327 0.327
N8 0.827 0.173 0.827
Rh1 0.845 0.845 0.845
Rh2 0.155 0.845 0.155
Rh3 0.845 0.155 0.155
Rh4 0.345 0.345 0.345
Rh5 0.655 0.655 0.345
Rh6 0.655 0.345 0.655
Rh7 0.155 0.155 0.845
Rh8 0.345 0.655 0.655

Results
- DOS(E_F): 1.39 states/eV/f.u.
- Magnetization: 0.00 μB per atom

=====

Model y:
# RhN

RhN after structural relaxation (PBE, Alexandria).

a = 2.980 Å, b = 2.980 Å, c = 5.874 Å
α = 90.00°, β = 90.00°, γ = 120.00°
Element x y z (fractional)
Rh1 0.333 0.667 0.294
Rh2 0.667 0.333 0.706
N1 0.000 0.000 0.113
N2 0.000 0.000 0.887

Results
- DOS(E_F): 0.88 states/eV/f.u.
- Magnetization: 0.00 μB per atom

=====

The relative energies come out as model w 0.0; model x 40.3; model y 2.9, with values in kJ/mol of atoms.